Entry 1:
Entry from the Alexandria database: B7C5 after structural relaxation (PBE-GGA).

Computed properties:
ΔE_f: 0.416 eV per atom
magnetic moment: 0.0 μB/cell

The structure in CIF format:
```
data_B7C5
_space_group_name_H-M_alt 'P m m 2'
_space_group_IT_number 25
_space_group_name_Hall 'P 2 -2'
_cell_length_a 2.335
_cell_length_b 2.559
_cell_length_c 13.541
_cell_angle_alpha 90.00
_cell_angle_beta 90.00
_cell_angle_gamma 90.00
loop_
_atom_site_label
_atom_site_type_symbol
_atom_site_fract_x
_atom_site_fract_y
_atom_site_fract_z
B1 B 0.000 0.000 0.000
B2 B 0.000 0.000 0.293
B3 B 0.000 0.000 0.643
B4 B 0.000 0.500 0.385
B5 B 0.000 0.500 0.739
B6 B 0.500 0.500 0.489
B7 B 0.500 0.500 0.842
C1 C 0.000 0.500 0.074
C2 C 0.500 0.000 0.206
C3 C 0.500 0.000 0.558
C4 C 0.500 0.000 0.912
C5 C 0.500 0.500 0.142
```

Entry 2:
Entry from the Alexandria database: B3C7 after structural relaxation (PBE-GGA).

Computed properties:
ΔE_f: 0.340 eV per atom
magnetic moment: 0.0 μB/cell

The structure in CIF format:
```
data_B3C7
_space_group_name_H-M_alt 'I m m 2'
_space_group_IT_number 44
_space_group_name_Hall 'I 2 -2'
_cell_length_a 2.470
_cell_length_b 12.973
_cell_length_c 3.928
_cell_angle_alpha 90.00
_cell_angle_beta 90.00
_cell_angle_gamma 90.00
loop_
_atom_site_label
_atom_site_type_symbol
_atom_site_fract_x
_atom_site_fract_y
_atom_site_fract_z
B1 B 0.000 0.000 0.000
B2 B 0.000 0.198 0.001
C1 C 0.000 0.099 0.745
C2 C 0.000 0.305 0.789
C3 C 0.000 0.401 0.016
C4 C 0.000 0.500 0.790
```

Entry 3:
Entry from the Alexandria database: BC after structural relaxation (PBE-GGA).

Computed properties:
ΔE_f: 0.326 eV per atom
magnetic moment: 0.0 μB/cell

The structure in CIF format:
```
data_BC
_space_group_name_H-M_alt 'P 1 m 1'
_space_group_IT_number 6
_space_group_name_Hall 'P -2y'
_cell_length_a 4.716
_cell_length_b 2.690
_cell_length_c 6.269
_cell_angle_alpha 90.00
_cell_angle_beta 104.22
_cell_angle_gamma 90.00
loop_
_atom_site_label
_atom_site_type_symbol
_atom_site_fract_x
_atom_site_fract_y
_atom_site_fract_z
B1 B 0.000 0.000 0.000
B2 B 0.056 0.500 0.661
B3 B 0.211 0.000 0.543
B4 B 0.393 0.000 0.290
B5 B 0.673 0.500 0.569
B6 B 0.918 0.500 0.358
C1 C 0.060 0.000 0.283
C2 C 0.147 0.500 0.915
C3 C 0.494 0.500 0.992
C4 C 0.552 0.500 0.261
C5 C 0.567 0.000 0.658
C6 C 0.631 0.000 0.913
```

Entry 4:
Entry from the Alexandria database: BC after structural relaxation (PBE-GGA).

Computed properties:
ΔE_f: 0.370 eV per atom
magnetic moment: 0.0 μB/cell

The structure in CIF format:
```
data_BC
_space_group_name_H-M_alt 'C 1 2 1'
_space_group_IT_number 5
_space_group_name_Hall 'C 2y'
_cell_length_a 3.476
_cell_length_b 4.377
_cell_length_c 3.438
_cell_angle_alpha 90.00
_cell_angle_beta 105.30
_cell_angle_gamma 90.00
loop_
_atom_site_label
_atom_site_type_symbol
_atom_site_fract_x
_atom_site_fract_y
_atom_site_fract_z
B1 B 0.000 0.000 0.000
B2 B 0.000 0.469 0.500
C1 C 0.202 0.795 0.711
```

Entry 5:
Entry from the Alexandria database: BC after structural relaxation (PBE-GGA).

Computed properties:
ΔE_f: 0.396 eV per atom
magnetic moment: 0.0 μB/cell

The structure in CIF format:
```
data_BC
_space_group_name_H-M_alt 'C 1 m 1'
_space_group_IT_number 8
_space_group_name_Hall 'C -2y'
_cell_length_a 13.610
_cell_length_b 2.638
_cell_length_c 4.695
_cell_angle_alpha 90.00
_cell_angle_beta 107.60
_cell_angle_gamma 90.00
loop_
_atom_site_label
_atom_site_type_symbol
_atom_site_fract_x
_atom_site_fract_y
_atom_site_fract_z
B1 B 0.000 0.000 0.000
B2 B 0.007 0.500 0.413
B3 B 0.063 0.500 0.841
B4 B 0.208 0.000 0.804
B5 B 0.370 0.500 0.785
B6 B 0.379 0.000 0.015
C1 C 0.062 0.000 0.349
C2 C 0.179 0.000 0.438
C3 C 0.184 0.500 0.961
C4 C 0.219 0.500 0.315
C5 C 0.340 0.500 0.439
C6 C 0.383 0.000 0.345
```

Entry 6:
Entry from the Alexandria database: BC after structural relaxation (PBE-GGA).

Computed properties:
ΔE_f: 0.351 eV per atom
magnetic moment: 0.0 μB/cell

The structure in CIF format:
```
data_BC
_space_group_name_H-M_alt 'P 1'
_space_group_IT_number 1
_space_group_name_Hall 'P 1'
_cell_length_a 3.768
_cell_length_b 4.496
_cell_length_c 5.340
_cell_angle_alpha 104.64
_cell_angle_beta 94.65
_cell_angle_gamma 109.60
loop_
_atom_site_label
_atom_site_type_symbol
_atom_site_fract_x
_atom_site_fract_y
_atom_site_fract_z
B1 B 0.000 0.000 0.000
B2 B 0.006 0.570 0.462
B3 B 0.236 0.744 0.773
B4 B 0.340 0.348 0.635
B5 B 0.606 0.973 0.394
B6 B 0.951 0.972 0.632
C1 C 0.247 0.630 0.230
C2 C 0.366 0.332 0.140
C3 C 0.570 0.309 0.389
C4 C 0.610 0.361 0.912
C5 C 0.652 0.024 0.826
C6 C 0.991 0.658 0.014
```

Entry 7:
Entry from the Alexandria database: B7C5 after structural relaxation (PBE-GGA).

Computed properties:
ΔE_f: 0.404 eV per atom
magnetic moment: 0.0 μB/cell

The structure in CIF format:
```
data_B7C5
_space_group_name_H-M_alt 'C 1 m 1'
_space_group_IT_number 8
_space_group_name_Hall 'C -2y'
_cell_length_a 4.940
_cell_length_b 8.165
_cell_length_c 4.402
_cell_angle_alpha 90.00
_cell_angle_beta 117.06
_cell_angle_gamma 90.00
loop_
_atom_site_label
_atom_site_type_symbol
_atom_site_fract_x
_atom_site_fract_y
_atom_site_fract_z
B1 B 0.000 0.000 0.000
B2 B 0.062 0.343 0.514
B3 B 0.357 0.343 0.341
B4 B 0.484 0.165 0.020
C1 C 0.080 0.000 0.506
C2 C 0.284 0.000 0.902
C3 C 0.294 0.334 0.925
C4 C 0.338 0.000 0.416
```

Entry 8:
Entry from the Alexandria database: BC after structural relaxation (PBE-GGA).

Computed properties:
ΔE_f: 0.365 eV per atom
magnetic moment: 0.0 μB/cell

The structure in CIF format:
```
data_BC
_space_group_name_H-M_alt 'C 1 m 1'
_space_group_IT_number 8
_space_group_name_Hall 'C -2y'
_cell_length_a 8.383
_cell_length_b 2.555
_cell_length_c 4.880
_cell_angle_alpha 90.00
_cell_angle_beta 93.46
_cell_angle_gamma 90.00
loop_
_atom_site_label
_atom_site_type_symbol
_atom_site_fract_x
_atom_site_fract_y
_atom_site_fract_z
B1 B 0.000 0.000 0.000
B2 B 0.014 0.000 0.657
B3 B 0.271 0.000 0.210
B4 B 0.289 0.500 0.740
C1 C 0.047 0.500 0.452
C2 C 0.192 0.000 0.891
C3 C 0.221 0.500 0.423
C4 C 0.456 0.000 0.185
```

Entry 9:
Entry from the Alexandria database: BC after structural relaxation (PBE-GGA).

Computed properties:
ΔE_f: 0.714 eV per atom
magnetic moment: 0.0 μB/cell

The structure in CIF format:
```
data_BC
_space_group_name_H-M_alt 'I -4 3 m'
_space_group_IT_number 217
_space_group_name_Hall 'I -4 2 3'
_cell_length_a 5.123
_cell_length_b 5.123
_cell_length_c 5.123
_cell_angle_alpha 90.00
_cell_angle_beta 90.00
_cell_angle_gamma 90.00
loop_
_atom_site_label
_atom_site_type_symbol
_atom_site_fract_x
_atom_site_fract_y
_atom_site_fract_z
B1 B 0.157 0.157 0.157
C1 C 0.171 0.171 0.829
```

Entry 10:
Entry from the Alexandria database: BC after structural relaxation (PBE-GGA).

Computed properties:
ΔE_f: 0.375 eV per atom
magnetic moment: 0.0 μB/cell

The structure in CIF format:
```
data_BC
_space_group_name_H-M_alt 'C 1 m 1'
_space_group_IT_number 8
_space_group_name_Hall 'C -2y'
_cell_length_a 12.433
_cell_length_b 2.639
_cell_length_c 5.247
_cell_angle_alpha 90.00
_cell_angle_beta 103.22
_cell_angle_gamma 90.00
loop_
_atom_site_label
_atom_site_type_symbol
_atom_site_fract_x
_atom_site_fract_y
_atom_site_fract_z
B1 B 0.000 0.000 0.000
B2 B 0.009 0.000 0.458
B3 B 0.113 0.000 0.846
B4 B 0.158 0.500 0.392
B5 B 0.279 0.500 0.078
B6 B 0.407 0.000 0.454
C1 C 0.096 0.000 0.291
C2 C 0.178 0.500 0.832
C3 C 0.263 0.500 0.639
C4 C 0.337 0.000 0.672
C5 C 0.344 0.000 0.156
C6 C 0.416 0.000 0.947
```

| no. | energy above the most stable polymorph in this dataset (kJ/mol of atoms) |
| --- | --- |
| 1 | 24.3 |
| 2 | 7.5 |
| 3 | 16.9 |
| 4 | 21.1 |
| 5 | 23.6 |
| 6 | 19.3 |
| 7 | 23.1 |
| 8 | 20.7 |
| 9 | 54.3 |
| 10 | 21.7 |